## P
{
  "formula": "CrOsRh",
  "functional": "PBE-GGA",
  "state": "optimized geometry",
  "n_ef_per_ev_cell": 5.97,
  "spacegroup": "P-1, No. 2",
  "cell": [[2.699, 0.000, 0.000], [0.000, 4.271, 0.000], [-1.341, -0.054, 6.978]],
  "species": ["Cr", "Cr", "Os", "Os", "Rh", "Rh"],
  "fractional_positions": [[0.055, 0.241, 0.109], [0.945, 0.759, 0.891], [0.280, 0.751, 0.561], [0.720, 0.249, 0.439], [0.398, 0.253, 0.796], [0.602, 0.747, 0.204]]
}

***

## Q
{
  "formula": "CrOsRh",
  "functional": "PBE-GGA",
  "state": "optimized geometry",
  "n_ef_per_ev_cell": 3.43,
  "spacegroup": "F-43m, No. 216",
  "cell": [[0.000, 2.843, 2.843], [2.843, 0.000, 2.843], [2.843, 2.843, 0.000]],
  "species": ["Cr", "Os", "Rh"],
  "fractional_positions": [[0.000, 0.000, 0.000], [0.250, 0.250, 0.250], [0.750, 0.750, 0.750]]
}

***

## R
{
  "formula": "CrOsRh",
  "functional": "PBE-GGA",
  "state": "optimized geometry",
  "n_ef_per_ev_cell": 6.72,
  "spacegroup": "Cmcm, No. 63",
  "cell": [[1.879, -5.665, 0.000], [1.879, 5.665, 0.000], [0.000, 0.000, 3.799]],
  "species": ["Cr", "Cr", "Os", "Os", "Rh", "Rh"],
  "fractional_positions": [[0.078, 0.922, 0.750], [0.922, 0.078, 0.250], [0.419, 0.581, 0.750], [0.581, 0.419, 0.250], [0.250, 0.750, 0.250], [0.750, 0.250, 0.750]]
}

***

## S
{
  "formula": "CrOsRh",
  "functional": "PBE-GGA",
  "state": "optimized geometry",
  "n_ef_per_ev_cell": 3.11,
  "spacegroup": "P-6m2, No. 187",
  "cell": [[4.211, 0.000, 0.000], [-2.106, 3.647, 0.000], [0.000, 0.000, 2.672]],
  "species": ["Cr", "Os", "Rh"],
  "fractional_positions": [[0.000, 0.000, 0.000], [0.667, 0.333, 0.000], [0.333, 0.667, 0.500]]
}

***

Least stable: Q

***

## P
{
  "formula": "CrOsRh",
  "functional": "PBE-GGA",
  "state": "optimized geometry",
  "n_ef_per_ev_cell": 4.81,
  "spacegroup": "I4mm, No. 107",
  "cell": [[-1.345, 1.345, 5.593], [1.345, -1.345, 5.593], [1.345, 1.345, -5.593]],
  "species": ["Cr", "Os", "Rh"],
  "fractional_positions": [[0.000, 0.000, 0.000], [0.344, 0.344, 0.000], [0.664, 0.664, 0.000]]
}

***

## Q
{
  "formula": "CrOsRh",
  "functional": "PBE-GGA",
  "state": "optimized geometry",
  "n_ef_per_ev_cell": 4.10,
  "spacegroup": "Imm2, No. 44",
  "cell": [[-1.329, 1.880, 4.054], [1.329, -1.880, 4.054], [1.329, 1.880, -4.054]],
  "species": ["Cr", "Os", "Rh"],
  "fractional_positions": [[0.000, 0.000, 0.000], [0.654, 0.654, 0.000], [0.330, 0.330, 0.000]]
}

***

Least stable: Q

***

## P
{
  "formula": "CrOsRu",
  "functional": "PBE-GGA",
  "state": "optimized geometry",
  "n_ef_per_ev_cell": 4.20,
  "spacegroup": "I4mm, No. 107",
  "cell": [[-1.344, 1.344, 5.582], [1.344, -1.344, 5.582], [1.344, 1.344, -5.582]],
  "species": ["Cr", "Os", "Ru"],
  "fractional_positions": [[0.000, 0.000, 0.000], [0.339, 0.339, 0.000], [0.662, 0.662, 0.000]]
}

***

## Q
{
  "formula": "CrOsRu",
  "functional": "PBE-GGA",
  "state": "optimized geometry",
  "n_ef_per_ev_cell": 4.80,
  "spacegroup": "Fmm2, No. 42",
  "cell": [[0.000, 2.238, 6.550], [1.405, 0.000, 6.550], [1.405, 2.238, 0.000]],
  "species": ["Cr", "Os", "Ru"],
  "fractional_positions": [[0.000, 0.000, 0.000], [0.340, 0.340, 0.660], [0.658, 0.658, 0.342]]
}

***

Least stable: Q

***

## P
{
  "formula": "CrOsRu",
  "functional": "PBE-GGA",
  "state": "optimized geometry",
  "n_ef_per_ev_cell": 5.40,
  "spacegroup": "P-1, No. 2",
  "cell": [[2.733, 0.000, 0.000], [-1.361, 4.887, 0.000], [-0.030, -0.503, 6.151]],
  "species": ["Cr", "Cr", "Os", "Os", "Ru", "Ru"],
  "fractional_positions": [[0.234, 0.470, 0.154], [0.766, 0.530, 0.846], [0.045, 0.083, 0.815], [0.955, 0.917, 0.185], [0.369, 0.739, 0.539], [0.631, 0.261, 0.461]]
}

***

## Q
{
  "formula": "CrOsRu",
  "functional": "PBE-GGA",
  "state": "optimized geometry",
  "n_ef_per_ev_cell": 2.58,
  "spacegroup": "P-6m2, No. 187",
  "cell": [[4.197, 0.000, 0.000], [-2.098, 3.634, 0.000], [0.000, 0.000, 2.669]],
  "species": ["Cr", "Os", "Ru"],
  "fractional_positions": [[0.000, 0.000, 0.000], [0.667, 0.333, 0.000], [0.333, 0.667, 0.500]]
}

***

Least stable: P